Run A
TlP3S | PBE | optimized geometry

Properties
crystal system = cubic
density = 4.03 g cm⁻³

Unit cell a=5.139 b=5.139 c=5.139 alpha=90.00 beta=90.00 gamma=90.00
Sites, in units of the cell vectors:
P: 0.000 0.500 0.000
P: 0.000 0.000 0.500
P: 0.500 0.000 0.000
Tl: 0.000 0.000 0.000
S: 0.500 0.500 0.500

---

Run B
TlP3S | PBE | optimized geometry

Properties
crystal system = cubic
density = 5.38 g cm⁻³

Unit cell a=4.667 b=4.667 c=4.667 alpha=90.00 beta=90.00 gamma=90.00
Sites, in units of the cell vectors:
P: 0.000 0.500 0.000
P: 0.000 0.000 0.500
P: 0.500 0.000 0.000
Tl: 0.500 0.500 0.500
S: 0.000 0.000 0.000

---

Most stable structure, least stable structure: run B, run A.

---

Run A
TlVP2S | PBE | optimized geometry

Properties
crystal system = tetragonal
density = 5.72 g cm⁻³

Unit cell a=4.700 b=4.700 c=4.588 alpha=90.00 beta=90.00 gamma=90.00
Sites, in units of the cell vectors:
P: 0.000 0.500 0.000
P: 0.500 0.000 0.000
Tl: 0.500 0.500 0.500
S: 0.000 0.000 0.500
V: 0.000 0.000 0.000

---

Run B
TlVP2S | PBE | optimized geometry

Properties
crystal system = tetragonal
density = 4.48 g cm⁻³

Unit cell a=5.021 b=5.021 c=5.132 alpha=90.00 beta=90.00 gamma=90.00
Sites, in units of the cell vectors:
P: 0.000 0.500 0.000
P: 0.500 0.000 0.000
Tl: 0.000 0.000 0.000
S: 0.000 0.000 0.500
V: 0.500 0.500 0.500

---

Most stable structure, least stable structure: run A, run B.

---

Run A
VPS3 | PBE | optimized geometry

Properties
crystal system = cubic
density = 3.31 g cm⁻³

Unit cell a=4.469 b=4.469 c=4.469 alpha=90.00 beta=90.00 gamma=90.00
Sites, in units of the cell vectors:
P: 0.000 0.000 0.000
S: 0.000 0.500 0.000
S: 0.000 0.000 0.500
S: 0.500 0.000 0.000
V: 0.500 0.500 0.500

---

Run B
VPS3 | PBE | optimized geometry

Properties
crystal system = monoclinic
density = 2.82 g cm⁻³

Unit cell a=5.950 b=5.950 c=7.169 alpha=82.01 beta=82.01 gamma=120.59
Sites, in units of the cell vectors:
V: 0.329 0.671 0.000
V: 0.671 0.329 0.000
P: 0.053 0.053 0.841
P: 0.947 0.947 0.159
S: 0.730 0.730 0.779
S: 0.270 0.270 0.221
S: 0.418 0.077 0.774
S: 0.077 0.418 0.774
S: 0.582 0.923 0.226
S: 0.923 0.582 0.226

---

Most stable structure, least stable structure: run B, run A.